# 1
The following is a DFT calculation (PBE-GGA) of a relaxed structure of Pm2Sm4Ge3H2.

Properties
density: 7.098 Mg/m³
uncorrected energy: -0.18496 Ha/atom
SG: No. 139

Lattice parameters (Å, degrees): 4.639 4.639 12.520 100.68 100.68 90.00
Fractional positions:
Pm (0.298, 0.298, 0.596)
Pm (0.702, 0.702, 0.404)
Sm (0.420, 0.920, 0.839)
Sm (0.920, 0.420, 0.839)
Sm (0.080, 0.580, 0.161)
Sm (0.580, 0.080, 0.161)
Ge (0.000, 0.000, 0.000)
Ge (0.172, 0.172, 0.344)
Ge (0.828, 0.828, 0.656)
H (0.399, 0.399, 0.798)
H (0.601, 0.601, 0.202)

# 2
The following is a DFT calculation (PBE-GGA) of a relaxed structure of SiTcRu.

Properties
distance to the lowest polymorph of the same formula: 1.28 eV/f.u.
uncorrected formation energy: 44 meV per atom
density: 9.014 Mg/m³
uncorrected energy: -0.30541 Ha/atom
SG: No. 42

Lattice parameters (Å, degrees): 6.566 6.305 2.758 82.99 72.38 24.64
Fractional positions:
Ru (0.989, 0.989, 0.011)
Si (0.336, 0.336, 0.664)
Tc (0.676, 0.676, 0.324)

# 3
The following is a DFT calculation (PBE-GGA) of a relaxed structure of CaGe3C.

Properties
distance to the lowest polymorph of the same formula: 0.00 eV/f.u.
density: 4.777 Mg/m³
uncorrected energy: -0.16036 Ha/atom
formation energy from the elements: 0.6520 eV per atom
SG: No. 221

Lattice parameters (Å, degrees): 4.545 4.545 4.545 90.00 90.00 90.00
Fractional positions:
C (0.000, 0.000, 0.000)
Ge (0.000, 0.500, 0.000)
Ge (0.000, 0.000, 0.500)
Ge (0.500, 0.000, 0.000)
Ca (0.500, 0.500, 0.500)

# 4
The following is a DFT calculation (PBE-GGA) of a relaxed structure of Ac4Pm2Sn3.

Properties
density: 7.490 Mg/m³
uncorrected energy: -0.16661 Ha/atom
formation energy from the elements: -0.3177 eV per atom
SG: No. 15

Lattice parameters (Å, degrees): 7.183 10.103 10.103 93.87 76.77 76.77
Fractional positions:
Ac (0.394, 0.015, 0.191)
Ac (0.106, 0.809, 0.985)
Ac (0.606, 0.985, 0.809)
Ac (0.894, 0.191, 0.015)
Ac (0.974, 0.213, 0.510)
Ac (0.526, 0.490, 0.787)
Ac (0.026, 0.787, 0.490)
Ac (0.474, 0.510, 0.213)
Pm (0.468, 0.176, 0.548)
Pm (0.032, 0.452, 0.824)
Pm (0.532, 0.824, 0.452)
Pm (0.968, 0.548, 0.176)
Sn (0.833, 0.008, 0.285)
Sn (0.667, 0.715, 0.992)
Sn (0.167, 0.992, 0.715)
Sn (0.333, 0.285, 0.008)
Sn (0.250, 0.473, 0.527)
Sn (0.750, 0.527, 0.473)